(1)
Material: Np2Ni5Ge4
Method: DFT, PBE
State: relaxed

Calculated values
Energy of formation = -0.216 eV/atom
Space-group type = Fmmm, No. 69
Magnetization = 8.35 μB per cell
E_tot = -75.63 eV/cell

Cell lengths 5.3097, 5.4190, 7.5651 Å; angles 80.10, 69.46, 60.66 degrees
Last column: nearest neighbours and their distance in Å.
Element x y z (fractional)
Ni (0.7500, 0.5000, 0.5000)  4 Ge 2.35
Ni (0.2500, 0.5000, 0.5000)  4 Ge 2.35
Ni (0.0000, 0.5000, 0.0000)  4 Ge 2.43, 4 Ni 2.65-2.71
Ni (0.5000, 0.5000, 0.0000)  4 Ge 2.43, 4 Ni 2.65-2.71
Ni (0.5000, 0.0000, 0.0000)  4 Ge 2.34
Ge (0.2166, 0.3092, 0.2576)  5 Ni 2.34-2.43
Ge (0.7834, 0.6908, 0.7424)  5 Ni 2.34-2.43
Ge (0.4742, 0.3092, 0.7424)  5 Ni 2.34-2.43
Ge (0.5258, 0.6908, 0.2576)  5 Ni 2.34-2.43
Np (0.8567, 0.0000, 0.2865)  6 Ge 3.04-3.27, 10 Ni 3.10-3.39
Np (0.1433, 0.0000, 0.7135)  6 Ge 3.04-3.27, 10 Ni 3.10-3.39

(2)
Material: Li2MgTi3O8
Method: DFT, PBE
State: relaxed

Calculated values
Offset from the most stable computed form = 38 meV/atom
Space-group type = R3m, No. 160
Magnetization = 0.00 μB per cell
E_tot = -107.99 eV/cell

Cell lengths 5.9624, 5.9624, 5.9624 Å; angles 60.21, 60.21, 60.21 degrees
Last column: nearest neighbours and their distance in Å.
Element x y z (fractional)
O (0.3758, 0.3758, 0.8336)  2 Ti 1.93, 2 Li 2.00-2.13
O (0.3842, 0.3842, 0.3842)  3 Ti 2.02, 1 Li 2.06
O (0.8677, 0.8677, 0.8677)  1 Mg 2.03, 3 Ti 2.07
O (0.8724, 0.4135, 0.8724)  1 Mg 1.98, 2 Ti 1.99, 1 Li 2.09
O (0.8336, 0.3758, 0.3758)  2 Ti 1.93, 2 Li 2.00-2.13
O (0.3758, 0.8336, 0.3758)  2 Ti 1.93, 2 Li 2.00-2.13
O (0.8724, 0.8724, 0.4135)  1 Mg 1.98, 2 Ti 1.99, 1 Li 2.09
O (0.4135, 0.8724, 0.8724)  1 Mg 1.98, 2 Ti 1.99, 1 Li 2.09
Ti (0.1307, 0.6236, 0.6236)  6 O 1.93-2.07
Ti (0.6236, 0.1307, 0.6236)  6 O 1.93-2.07
Ti (0.6236, 0.6236, 0.1307)  6 O 1.93-2.07
Li (0.6262, 0.6262, 0.6262)  6 O 2.09-2.13
Li (0.2432, 0.2432, 0.2432)  4 O 2.00-2.06
Mg (0.0072, 0.0072, 0.0072)  4 O 1.98-2.03

(3)
Material: CsAl2Cd2
Method: DFT, PBE
State: relaxed

Calculated values
Energy of formation = 0.247 eV/atom
Offset from the most stable computed form = 90 meV/atom
Space-group type = P4/mbm, No. 127
Magnetization = 0.00 μB per cell
E_tot = -17.87 eV/cell

Cell lengths 9.3634, 9.3634, 3.1066 Å; angles 90.00, 90.00, 90.00 degrees
Last column: nearest neighbours and their distance in Å.
Element x y z (fractional)
Al (0.6437, 0.8563, 0.5000)  6 Cd 3.06-3.28, 2 Al 3.11
Al (0.1437, 0.6437, 0.5000)  6 Cd 3.06-3.28, 2 Al 3.11
Al (0.3563, 0.1437, 0.5000)  6 Cd 3.06-3.28, 2 Al 3.11
Al (0.8563, 0.3563, 0.5000)  6 Cd 3.06-3.28, 2 Al 3.11
Cd (0.6381, 0.1381, 0.0000)  6 Al 3.06-3.28, 2 Cd 3.11
Cd (0.3619, 0.8619, 0.0000)  6 Al 3.06-3.28, 2 Cd 3.11
Cd (0.8619, 0.6381, 0.0000)  6 Al 3.06-3.28, 2 Cd 3.11
Cd (0.1381, 0.3619, 0.0000)  6 Al 3.06-3.28, 2 Cd 3.11
Cs (0.0000, 0.0000, 0.0000)  2 Cs 3.11
Cs (0.5000, 0.5000, 0.0000)  2 Cs 3.11

(4)
Material: Dy4HoCo2
Method: DFT, PBE
State: relaxed

Calculated values
Energy of formation = -0.053 eV/atom
Space-group type = P2_1/m, No. 11
Magnetization = 0.00 μB per cell
E_tot = -75.14 eV/cell

Cell lengths 6.3398, 7.7191, 7.6258 Å; angles 113.04, 90.00, 90.00 degrees
Last column: nearest neighbours and their distance in Å.
Element x y z (fractional)
Dy (0.9976, 0.4120, 0.7593)  4 Co 2.90-3.02, 2 Dy 3.14-3.20
Dy (0.2500, 0.9804, 0.6250)  2 Co 2.63-2.78
Dy (0.0024, 0.5880, 0.2407)  4 Co 2.90-3.02, 2 Dy 3.14-3.20
Dy (0.7500, 0.7506, 0.6737)  2 Co 2.63-2.83
Dy (0.7500, 0.0196, 0.3750)  2 Co 2.63-2.78
Dy (0.5024, 0.4120, 0.7593)  4 Co 2.90-3.02, 2 Dy 3.14-3.20
Dy (0.2500, 0.2494, 0.3263)  2 Co 2.63-2.83
Dy (0.4976, 0.5880, 0.2407)  4 Co 2.90-3.02, 2 Dy 3.14-3.20
Ho (0.7500, 0.1642, 0.0282)  1 Co 2.70
Ho (0.2500, 0.8358, 0.9718)  1 Co 2.70
Co (0.2500, 0.6284, 0.5928)  4 Dy 2.63-2.94, 1 Ho 2.70
Co (0.2500, 0.2658, 0.9880)  6 Dy 2.63-2.93
Co (0.7500, 0.3716, 0.4072)  4 Dy 2.63-2.94, 1 Ho 2.70
Co (0.7500, 0.7342, 0.0120)  6 Dy 2.63-2.93

(5)
Material: CrFe3B
Method: DFT, PBE
State: relaxed

Calculated values
Energy of formation = 1.871 eV/atom
Offset from the most stable computed form = 1631 meV/atom
Space-group type = Pm-3m, No. 221
Magnetization = 4.66 μB per cell
E_tot = -32.34 eV/cell

Cell lengths 4.1565, 4.1565, 4.1565 Å; angles 90.00, 90.00, 90.00 degrees
Last column: nearest neighbours and their distance in Å.
Element x y z (fractional)
B (0.5000, 0.5000, 0.5000)  12 Fe 2.94
Fe (0.5000, 0.0000, 0.0000)  2 Cr 2.08
Fe (0.0000, 0.5000, 0.0000)  2 Cr 2.08
Fe (0.0000, 0.0000, 0.5000)  2 Cr 2.08
Cr (0.0000, 0.0000, 0.0000)  6 Fe 2.08

(6)
Material: TcNiAsN2
Method: DFT, PBE
State: relaxed

Calculated values
Space-group type = P4/mmm, No. 123
Magnetization = 3.66 μB per cell
E_tot = -28.00 eV/cell

Cell lengths 3.7112, 5.0436, 3.7112 Å; angles 90.00, 90.00, 90.00 degrees
Last column: nearest neighbours and their distance in Å.
Element x y z (fractional)
Tc (0.0000, 0.5000, 0.0000)  2 As 2.52, 4 Ni 2.62
N (0.5000, 0.0000, 0.0000)  2 As 1.86
N (0.0000, 0.0000, 0.5000)  2 As 1.86
Ni (0.5000, 0.5000, 0.5000)  4 Tc 2.62
As (0.0000, 0.0000, 0.0000)  4 N 1.86

(7)
Material: Nd8Y4Er3
Method: DFT, PBE
State: relaxed

Calculated values
Energy of formation = 0.333 eV/atom
Space-group type = C2/m, No. 12
Magnetization = 0.00 μB per cell
E_tot = -72.69 eV/cell

Cell lengths 6.9245, 9.2018, 9.2018 Å; angles 83.09, 110.61, 110.61 degrees
Last column: nearest neighbours and their distance in Å.
Element x y z (fractional)
Y (0.0000, 0.5000, 0.0000)  8 Nd 3.46-3.68, 2 Er 3.46
Y (0.0000, 0.0000, 0.0000)  2 Nd 3.01
Y (0.0000, 0.0000, 0.5000)  8 Nd 3.46-3.68, 2 Er 3.46
Y (0.5000, 0.0000, 0.0000)  2 Nd 3.03
Er (0.5000, 0.5000, 0.0000)  8 Nd 3.36-3.67, 2 Y 3.46
Er (0.5000, 0.0000, 0.5000)  8 Nd 3.36-3.67, 2 Y 3.46
Er (0.5000, 0.5000, 0.5000)  4 Nd 3.08-3.11
Nd (0.8268, 0.2982, 0.2982)  4 Nd 3.41-3.63, 3 Y 3.46-3.64, 2 Er 3.67
Nd (0.0000, 0.2956, 0.7044)  3 Y 3.49-3.61, 4 Nd 3.50-3.51, 2 Er 3.60
Nd (0.2934, 0.2449, 0.2449)  1 Y 3.01, 3 Er 3.11-3.36
Nd (0.1732, 0.7018, 0.7018)  4 Nd 3.41-3.63, 3 Y 3.46-3.64, 2 Er 3.67
Nd (0.0000, 0.7044, 0.2956)  3 Y 3.49-3.61, 4 Nd 3.50-3.51, 2 Er 3.60
Nd (0.7066, 0.7551, 0.7551)  1 Y 3.01, 3 Er 3.11-3.36
Nd (0.5000, 0.7521, 0.2479)  1 Y 3.03, 1 Er 3.08
Nd (0.5000, 0.2479, 0.7521)  1 Y 3.03, 1 Er 3.08

(8)
Material: KLi4Pt
Method: DFT, PBE
State: relaxed

Calculated values
Energy of formation = 0.059 eV/atom
Space-group type = F-43m, No. 216
Magnetization = 0.00 μB per cell
E_tot = -14.44 eV/cell

Cell lengths 5.5040, 5.5040, 5.5040 Å; angles 60.00, 60.00, 60.00 degrees
Last column: nearest neighbours and their distance in Å.
Element x y z (fractional)
Li (0.3780, 0.8659, 0.3780)  6 Li 2.69-2.82
Li (0.3780, 0.3780, 0.3780)  6 Li 2.69-2.82
Li (0.8659, 0.3780, 0.3780)  6 Li 2.69-2.82
Li (0.3780, 0.3780, 0.8659)  6 Li 2.69-2.82
K (0.0000, 0.0000, 0.0000)  12 Li 3.23, 4 Pt 3.37
Pt (0.7500, 0.7500, 0.7500)  12 Li 3.22, 4 K 3.37

(9)
Material: Sm2InGe4Ir3
Method: DFT, PBE
State: relaxed

Calculated values
Energy of formation = -0.615 eV/atom
Space-group type = P-4m2, No. 115
Magnetization = 0.00 μB per cell
E_tot = -63.38 eV/cell

Cell lengths 4.3008, 4.3008, 10.5256 Å; angles 90.00, 90.00, 90.00 degrees
Last column: nearest neighbours and their distance in Å.
Element x y z (fractional)
Ge (0.0000, 0.0000, 0.0000)  4 Ir 2.49
Ge (0.5000, 0.0000, 0.6525)  3 Ir 2.41-2.68, 2 In 2.68
Ge (0.0000, 0.5000, 0.3475)  3 Ir 2.41-2.68, 2 In 2.68
Ge (0.5000, 0.5000, 0.0000)  4 Ir 2.49
Sm (0.0000, 0.5000, 0.7655)  8 Ge 3.27, 6 Ir 3.28-3.53, 2 In 3.53
Sm (0.5000, 0.0000, 0.2345)  8 Ge 3.27, 6 Ir 3.28-3.53, 2 In 3.53
Ir (0.5000, 0.0000, 0.8814)  5 Ge 2.41-2.49
Ir (0.0000, 0.5000, 0.1186)  5 Ge 2.41-2.49
Ir (0.0000, 0.0000, 0.5000)  4 Ge 2.68
In (0.5000, 0.5000, 0.5000)  4 Ge 2.68

(10)
Material: B4C
Method: DFT, PBE
State: relaxed

Calculated values
Energy of formation = 0.494 eV/atom
Offset from the most stable computed form = 596 meV/atom
Space-group type = Pm, No. 6
Magnetization = 0.00 μB per cell
E_tot = -33.46 eV/cell

Cell lengths 2.9500, 3.4328, 4.1550 Å; angles 90.00, 104.51, 90.00 degrees
Last column: nearest neighbours and their distance in Å.
Element x y z (fractional)
B (0.1982, 0.2423, 0.8940)  1 C 1.52, 1 B 1.66
B (0.6313, 0.0000, 0.7562)  6 B 1.74-1.93
B (0.1982, 0.7577, 0.8940)  1 C 1.52, 1 B 1.66
B (0.4131, 0.5000, 0.5694)  1 C 1.48
C (0.2752, 0.5000, 0.2016)  3 B 1.48-1.52

(11)
Material: Sc2PaCo9
Method: DFT, PBE
State: relaxed

Calculated values
Energy of formation = -0.280 eV/atom
Space-group type = R-3m, No. 166
Magnetization = 8.64 μB per cell
E_tot = -89.47 eV/cell

Cell lengths 4.8316, 4.8316, 8.4929 Å; angles 73.47, 73.47, 60.00 degrees
Last column: nearest neighbours and their distance in Å.
Element x y z (fractional)
Co (0.6653, 0.6653, 0.0042)  6 Co 2.45-2.48
Co (0.3347, 0.3347, 0.9958)  6 Co 2.45-2.48
Co (0.0799, 0.5866, 0.7470)  7 Co 2.38-2.48
Co (0.9201, 0.4134, 0.2530)  7 Co 2.38-2.48
Co (0.5866, 0.0799, 0.7470)  7 Co 2.38-2.48
Co (0.4134, 0.4134, 0.2530)  7 Co 2.38-2.48
Co (0.5000, 0.5000, 0.5000)  6 Co 2.43
Co (0.5866, 0.5866, 0.7470)  7 Co 2.38-2.48
Co (0.4134, 0.9201, 0.2530)  7 Co 2.38-2.48
Sc (0.1415, 0.1415, 0.5754)  12 Co 2.78-2.93, 3 Sc 3.04
Sc (0.8585, 0.8585, 0.4246)  12 Co 2.78-2.93, 3 Sc 3.04
Pa (0.0000, 0.0000, 0.0000)  6 Co 2.79

(12)
Material: KLiFe2
Method: DFT, PBE
State: relaxed

Calculated values
Energy of formation = 0.799 eV/atom
Offset from the most stable computed form = 256 meV/atom
Space-group type = Pmmm, No. 47
Magnetization = 5.43 μB per cell
E_tot = -16.74 eV/cell

Cell lengths 2.7124, 4.1160, 7.4449 Å; angles 90.00, 90.00, 90.00 degrees
Last column: nearest neighbours and their distance in Å.
Element x y z (fractional)
K (0.5000, 0.5000, 0.2500)  2 K 2.71
Li (0.5000, 0.5000, 0.7500)  8 Fe 2.70, 2 Li 2.71
Fe (0.0000, 0.0000, 0.8993)  1 Fe 2.22
Fe (0.0000, 0.0000, 0.6007)  1 Fe 2.22